Here is CaMnVO6 after structural relaxation from Alexandria via LeMat-Bulk. Energies are from PBE with a Hubbard U.

Structure (extended XYZ):
```
18
Lattice="-0.471 -3.924 2.644 3.524 1.482 2.828 -6.123 4.342 5.354" Properties=species:S:1:pos:R:3 pbc="T T T"
Ca -1.550 0.960 5.426
Ca -0.015 0.011 0.013
Mn -3.594 2.410 7.213
Mn -2.059 1.460 1.800
V 0.514 -0.503 3.621
V -4.074 2.889 3.562
O -0.224 2.741 5.481
O -2.863 -0.830 5.359
O 1.000 -0.801 1.814
O 2.036 -1.630 3.672
O 1.446 1.122 3.827
O -0.771 -1.878 3.724
O -3.403 2.336 5.234
O -2.045 1.249 7.670
O -4.518 0.732 6.980
O -2.255 3.794 7.084
O 0.336 -0.437 5.541
O -0.987 0.621 3.169
```

final energy	-6.872	eV per atom
volume	208	Å³/cell
DOS(E_F)	0.444	states/eV per atom
size of the total moment	1.992	μB/f.u.